Entry 1:
{
  "formula": "LaDy8Ho2",
  "functional": "PBE",
  "state": "relaxed",
  "mass_density_kg_m3": 7979,
  "ef_ev_per_atom": 0.137,
  "cell": [[9.614, -3.475, 0.000], [9.614, 3.475, 0.000], [-0.284, 0.000, 5.509]],
  "species": ["La", "Dy", "Dy", "Dy", "Dy", "Dy", "Dy", "Dy", "Dy", "Ho", "Ho"],
  "frac_coords": [[0.000, 0.000, 0.000], [0.133, 0.598, 0.268], [0.189, 0.189, 0.234], [0.402, 0.867, 0.732], [0.453, 0.453, 0.761], [0.547, 0.547, 0.239], [0.598, 0.133, 0.268], [0.811, 0.811, 0.766], [0.867, 0.402, 0.732], [0.285, 0.285, 0.751], [0.715, 0.715, 0.249]]
}


Entry 2:
{
  "formula": "La12DyHo6",
  "functional": "PBE",
  "state": "relaxed",
  "mass_density_kg_m3": 6896,
  "ef_ev_per_atom": 0.226,
  "cell": [[7.483, 4.320, 3.499], [-7.483, 4.320, 3.499], [0.000, -8.641, 3.499]],
  "species": ["La", "La", "La", "La", "La", "La", "La", "La", "La", "La", "La", "La", "Dy", "Ho", "Ho", "Ho", "Ho", "Ho", "Ho"],
  "frac_coords": [[0.118, 0.286, 0.818], [0.182, 0.882, 0.714], [0.194, 0.489, 0.585], [0.286, 0.818, 0.118], [0.415, 0.806, 0.511], [0.489, 0.585, 0.194], [0.511, 0.415, 0.806], [0.585, 0.194, 0.489], [0.714, 0.182, 0.882], [0.806, 0.511, 0.415], [0.818, 0.118, 0.286], [0.882, 0.714, 0.182], [0.000, 0.000, 0.000], [0.088, 0.441, 0.193], [0.193, 0.088, 0.441], [0.441, 0.193, 0.088], [0.559, 0.807, 0.912], [0.807, 0.912, 0.559], [0.912, 0.559, 0.807]]
}


Entry 3:
{
  "formula": "La12Dy5Ho2",
  "functional": "PBE",
  "state": "relaxed",
  "mass_density_kg_m3": 6985,
  "ef_ev_per_atom": 0.098,
  "de_polymorph_ev_per_atom": 0.000,
  "cell": [[6.655, -5.886, 0.000], [6.655, 5.886, 0.000], [-4.393, 0.000, 8.524]],
  "species": ["La", "La", "La", "La", "La", "La", "La", "La", "La", "La", "La", "La", "Dy", "Dy", "Dy", "Dy", "Dy", "Ho", "Ho"],
  "frac_coords": [[0.023, 0.547, 0.684], [0.061, 0.061, 0.280], [0.136, 0.657, 0.095], [0.343, 0.864, 0.905], [0.403, 0.403, 0.580], [0.453, 0.977, 0.316], [0.547, 0.023, 0.684], [0.597, 0.597, 0.420], [0.657, 0.136, 0.095], [0.864, 0.343, 0.905], [0.939, 0.939, 0.720], [0.977, 0.453, 0.316], [0.195, 0.195, 0.729], [0.281, 0.281, 0.138], [0.500, 0.500, 0.000], [0.719, 0.719, 0.862], [0.805, 0.805, 0.271], [0.216, 0.784, 0.500], [0.784, 0.216, 0.500]]
}


Entry 4:
{
  "formula": "La3DyHo7",
  "functional": "PBE",
  "state": "relaxed",
  "mass_density_kg_m3": 7814,
  "ef_ev_per_atom": 0.121,
  "de_polymorph_ev_per_atom": 0.000,
  "cell": [[6.553, 0.000, 0.000], [-0.616, 6.700, 0.000], [-1.239, -1.602, 8.391]],
  "species": ["La", "La", "La", "Dy", "Ho", "Ho", "Ho", "Ho", "Ho", "Ho", "Ho"],
  "frac_coords": [[0.000, 0.000, 0.000], [0.195, 0.560, 0.166], [0.805, 0.440, 0.834], [0.500, 0.000, 0.500], [0.012, 0.770, 0.577], [0.285, 0.275, 0.788], [0.437, 0.792, 0.852], [0.500, 0.500, 0.500], [0.563, 0.208, 0.148], [0.715, 0.725, 0.212], [0.988, 0.230, 0.423]]
}


Entry 5:
{
  "formula": "La4Dy6Ho",
  "functional": "PBE",
  "state": "relaxed",
  "mass_density_kg_m3": 7256,
  "ef_ev_per_atom": 0.290,
  "cell": [[-3.391, 3.391, 8.438], [3.391, -3.391, 8.438], [3.391, 3.391, -8.438]],
  "species": ["La", "La", "La", "La", "Dy", "Dy", "Dy", "Dy", "Dy", "Dy", "Ho"],
  "frac_coords": [[0.133, 0.133, 0.619], [0.487, 0.867, 0.000], [0.513, 0.513, 0.381], [0.867, 0.487, 0.000], [0.000, 0.500, 0.500], [0.057, 0.709, 0.000], [0.291, 0.291, 0.348], [0.500, 0.000, 0.500], [0.709, 0.057, 0.000], [0.943, 0.943, 0.652], [0.500, 0.500, 0.000]]
}


Entry 6:
{
  "formula": "La3Dy4Ho8",
  "functional": "PBE",
  "state": "relaxed",
  "mass_density_kg_m3": 7860,
  "ef_ev_per_atom": 0.388,
  "cell": [[6.710, -6.429, 0.000], [6.710, 6.429, 0.000], [-3.408, 0.000, 5.842]],
  "species": ["La", "La", "La", "Dy", "Dy", "Dy", "Dy", "Ho", "Ho", "Ho", "Ho", "Ho", "Ho", "Ho", "Ho"],
  "frac_coords": [[0.000, 0.000, 0.000], [0.000, 0.500, 0.000], [0.500, 0.000, 0.000], [0.000, 0.500, 0.500], [0.500, 0.000, 0.500], [0.500, 0.500, 0.000], [0.500, 0.500, 0.500], [0.140, 0.860, 0.500], [0.235, 0.235, 0.974], [0.238, 0.238, 0.500], [0.246, 0.754, 0.000], [0.754, 0.246, 0.000], [0.762, 0.762, 0.500], [0.765, 0.765, 0.026], [0.860, 0.140, 0.500]]
}